1.
First-principles (PBE-GGA) data for a geometry-optimized Tl3Pd structure, as listed in Alexandria via LeMat-Bulk.

Energy relative to the lowest polymorph listed for this composition, meV per atom: 0.0
E_form, eV per atom: -0.058
D(E_F), states/eV/cell: 17.64

Cell: 11.734 11.734 5.822 Å, 90.00 90.00 90.00°
Space group P4_2/n (No. 86, origin choice 2)
Symmetry-distinct sites (fractional):
Tl: 0.026 0.573 0.243
Tl: 0.114 0.220 0.022
Tl: 0.140 0.669 0.732
Pd: 0.034 0.209 0.521

2.
First-principles (PBE-GGA) data for a geometry-optimized TlPd structure, as listed in Alexandria via LeMat-Bulk.

E_form, eV per atom: -0.097
D(E_F), states/eV/cell: 5.64

Cell: 3.158 12.320 6.722 Å, 90.00 90.00 90.00°
Space group Amm2 (No. 38)
Symmetry-distinct sites (fractional):
Tl: 0.000 0.000 0.000
Tl: 0.500 0.226 0.334
Pd: 0.000 0.116 0.636
Pd: 0.500 0.000 0.352

3.
First-principles (PBE-GGA) data for a geometry-optimized Tl2Pd5 structure, as listed in Alexandria via LeMat-Bulk.

Energy relative to the lowest polymorph listed for this composition, meV per atom: 0.0
E_form, eV per atom: -0.193
D(E_F), states/eV/cell: 6.71

Cell: 6.812 12.610 5.855 Å, 90.00 90.00 90.00°
Space group Cccm (No. 66)
Symmetry-distinct sites (fractional):
Tl: 0.198 0.106 0.000
Pd: 0.000 0.268 0.250
Pd: 0.000 0.500 0.250
Pd: 0.220 0.121 0.500

4.
First-principles (PBE-GGA) data for a geometry-optimized TlPd structure, as listed in Alexandria via LeMat-Bulk.

E_form, eV per atom: -0.091
D(E_F), states/eV/cell: 7.20

Cell: 5.861 7.261 7.955 Å, 90.00 90.00 90.00°
Space group P2_12_12_1 (No. 19)
Symmetry-distinct sites (fractional):
Tl: 0.069 0.213 0.223
Tl: 0.081 0.454 0.878
Pd: 0.172 0.277 0.562
Pd: 0.184 0.069 0.902

5.
First-principles (PBE-GGA) data for a geometry-optimized Tl4Pd structure, as listed in Alexandria via LeMat-Bulk.

Energy relative to the lowest polymorph listed for this composition, meV per atom: 81.8
E_form, eV per atom: 0.029
D(E_F), states/eV/cell: 4.25

Cell: 5.372 5.372 5.372 Å, 90.00 90.00 90.00°
Space group Pm-3m (No. 221)
Symmetry-distinct sites (fractional):
Tl: 0.000 0.000 0.000
Tl: 0.000 0.500 0.500
Pd: 0.500 0.500 0.500

6.
First-principles (PBE-GGA) data for a geometry-optimized TmTl3Pd12 structure, as listed in Alexandria via LeMat-Bulk.

E_form, eV per atom: -0.371
D(E_F), states/eV/cell: 17.77

Cell: 4.075 4.075 16.465 Å, 90.00 90.00 90.00°
Space group P4/mmm (No. 123)
Symmetry-distinct sites (fractional):
Tm: 0.000 0.000 0.000
Tl: 0.000 0.000 0.252
Tl: 0.000 0.000 0.500
Pd: 0.000 0.500 0.125
Pd: 0.000 0.500 0.375
Pd: 0.500 0.500 0.000
Pd: 0.500 0.500 0.248
Pd: 0.500 0.500 0.500

7.
First-principles (PBE-GGA) data for a geometry-optimized Tm3Tl2Pd2 structure, as listed in Alexandria via LeMat-Bulk.

E_form, eV per atom: -0.619
D(E_F), states/eV/cell: 8.79

Cell: 4.160 22.422 3.538 Å, 90.00 90.00 90.00°
Space group Cmmm (No. 65)
Symmetry-distinct sites (fractional):
Tm: 0.000 0.000 0.000
Tm: 0.000 0.172 0.000
Tl: 0.000 0.419 0.500
Pd: 0.000 0.289 0.500

8.
First-principles (PBE-GGA) data for a geometry-optimized Tm5Tl2Pd2 structure, as listed in Alexandria via LeMat-Bulk.

E_form, eV per atom: -0.547
D(E_F), states/eV/cell: 32.36

Cell: 15.284 8.479 7.175 Å, 90.00 90.00 90.00°
Space group Cmce (No. 64)
Symmetry-distinct sites (fractional):
Tm: 0.000 0.000 0.000
Tm: 0.122 0.181 0.345
Tl: 0.212 0.000 0.000
Pd: 0.000 0.123 0.636

9.
First-principles (PBE-GGA) data for a geometry-optimized Tm2TlPd structure, as listed in Alexandria via LeMat-Bulk.

E_form, eV per atom: -0.496
D(E_F), states/eV/cell: 10.22

Cell: 3.7842 3.7842 25.2426 Å, 90.00 90.00 120.00°
Space group R-3m (No. 166, hexagonal axes)
Symmetry-distinct sites (fractional):
Tm: 0.0000 0.0000 0.2367
Tl: 0.0000 0.0000 0.0000
Pd: 0.0000 0.0000 0.5000

10.
First-principles (PBE-GGA) data for a geometry-optimized Tm4TlPd12 structure, as listed in Alexandria via LeMat-Bulk.

E_form, eV per atom: -0.764
D(E_F), states/eV/cell: 11.66

Cell: 8.539 8.539 8.539 Å, 90.00 90.00 90.00°
Space group Im-3m (No. 229)
Symmetry-distinct sites (fractional):
Tm: 0.250 0.250 0.250
Tl: 0.000 0.000 0.000
Pd: 0.000 0.000 0.303
Pd: 0.000 0.250 0.500

11.
First-principles (PBE-GGA) data for a geometry-optimized Tm5TlPd4 structure, as listed in Alexandria via LeMat-Bulk.

E_form, eV per atom: -0.814
D(E_F), states/eV/cell: 5.89

Cell: 3.520 3.520 17.671 Å, 90.00 90.00 90.00°
Space group P4/mmm (No. 123)
Symmetry-distinct sites (fractional):
Tm: 0.000 0.000 0.000
Tm: 0.000 0.000 0.192
Tm: 0.000 0.000 0.382
Tl: 0.500 0.500 0.500
Pd: 0.500 0.500 0.096
Pd: 0.500 0.500 0.289

12.
First-principles (PBE-GGA) data for a geometry-optimized Tm3Tl2Pd structure, as listed in Alexandria via LeMat-Bulk.

E_form, eV per atom: -0.515
D(E_F), states/eV/cell: 4.46

Cell: 3.544 3.544 11.719 Å, 90.00 90.00 90.00°
Space group P4/mmm (No. 123)
Symmetry-distinct sites (fractional):
Tm: 0.000 0.000 0.000
Tm: 0.000 0.000 0.358
Tl: 0.500 0.500 0.177
Pd: 0.500 0.500 0.500

no.,final energy (eV for the cell shown)
1,-100.2
2,-46.5
3,-128.2
4,-61.9
5,-14.5
6,-79.8
7,-65.7
8,-169.6
9,-55.5
10,-191.1
11,-53.6
12,-26.4